Entry from Alexandria via LeMat-Bulk: a relaxed SrTbGa4 crystal (PBE-GGA).

abc: 4.289 4.289 8.176
angles: 105.21 105.21 90.00
Sites, in units of the cell vectors:
Tb 0.000 0.000 0.000
Ga 0.580 0.580 0.161
Ga 0.836 0.336 0.672
Sr 0.250 0.750 0.500
Ga 0.664 0.164 0.328
Ga 0.420 0.420 0.839

Offset from the most stable computed form, meV/atom: 0
Crystal system: tetragonal
Formation enthalpy at 0 K, kJ/mol of atoms: -50.5